1.
Zr2InGePb | GGA-PBE | relaxed

The calculation puts the energy of formation from the pure elements at 495 kJ/mol of formula units. The crystal system is tetragonal.

The space group is P4/mmm (No. 123) and the conventional cell measures 5.473, 5.473 and 5.287 Å, with angles of 90.00, 90.00 and 90.00 degrees. The inequivalent atoms are Zr at (0.000, 0.500, 0.000), In at (0.000, 0.000, 0.500), Ge at (0.500, 0.500, 0.500) and Pb at (0.500, 0.500, 0.000).

=====

2.
InGe2Pd6 | GGA-PBE | relaxed

The calculation puts the energy of formation from the pure elements at -326 kJ/mol of formula units. The crystal system is monoclinic.

The space group is C2/m (No. 12) and the conventional cell measures 12.895, 4.554 and 5.220 Å, with angles of 90.00, 110.63 and 90.00 degrees. The inequivalent atoms are In at (0.000, 0.000, 0.000), Ge at (0.166, 0.500, 0.301), Pd at (0.041, 0.500, 0.777), Pd at (0.123, 0.000, 0.563) and Pd at (0.234, 0.000, 0.167).

=====

3.
In2Ge2Pd7 | GGA-PBE | relaxed

The calculation puts the energy of formation from the pure elements at -393 kJ/mol of formula units. The crystal system is monoclinic.

The space group is C2/m (No. 12) and the conventional cell measures 9.155, 7.796 and 5.585 Å, with angles of 90.00, 99.08 and 90.00 degrees. The inequivalent atoms are In at (0.000, 0.189, 0.000), Ge at (0.233, 0.500, 0.582), Pd at (0.000, 0.000, 0.500), Pd at (0.002, 0.500, 0.753) and Pd at (0.232, 0.207, 0.749).

=====

4.
In2Ge3Pd8 | GGA-PBE | relaxed

The calculation puts the energy of formation from the pure elements at -285 kJ/mol of formula units. The crystal system is monoclinic.

The space group is C2/m (No. 12) and the conventional cell measures 9.260, 8.738 and 7.280 Å, with angles of 90.00, 121.21 and 90.00 degrees. The inequivalent atoms are In at (0.205, 0.000, 0.122), Ge at (0.000, 0.248, 0.500), Ge at (0.000, 0.500, 0.000), Pd at (0.034, 0.000, 0.339), Pd at (0.078, 0.270, 0.879) and Pd at (0.114, 0.500, 0.425).

=====

Number 1: ρ 6.05 g cm⁻³. Number 2: ρ 10.40 g cm⁻³. Number 3: ρ 9.45 g cm⁻³. Number 4: ρ 8.56 g cm⁻³.